[1]
MnCd2Se | Alexandria | PBE | relaxed; magnetic moment = 4.440 μB per formula unit; N(E_F) = 0.6298 states/eV/atom; uncorrected formation energy = 191 meV per atom; electronic total energy = -0.2521 Ry per atom
1.0
1.927 1.112 7.254
-1.927 1.112 7.254
0.000 -2.225 7.254
Mn Cd Se
1 2 1
Direct
0.000 0.000 0.000
0.247 0.247 0.247
0.753 0.753 0.753
0.500 0.500 0.500

***

[2]
Nd2GaSb3Pd4 | Alexandria | PBE | relaxed; magnetic moment = 0.000 μB per formula unit; N(E_F) = 0.3222 states/eV/atom; uncorrected formation energy = -846 meV per atom; electronic total energy = -0.3981 Ry per atom
1.0
4.434 0.000 0.000
0.000 4.434 0.000
0.000 0.000 11.073
Nd Ga Sb Pd
2 1 3 4
Direct
0.000 0.500 0.245
0.500 0.000 0.755
0.000 0.000 0.500
0.000 0.500 0.863
0.500 0.000 0.137
0.500 0.500 0.500
0.000 0.000 0.000
0.000 0.500 0.629
0.500 0.000 0.371
0.500 0.500 0.000